# 1
A geometry-optimized CdFeTc2N structure. Source: Alexandria, functional PBE.

- Electronic total energy: -0.5544 Ry per atom
- Formation energy from raw total energies: 0.14 eV per atom

POSCAR file:
```
CdFeTc2N
1.0
4.105 0.000 0.000
0.000 4.105 0.000
0.000 0.000 3.929
Tc N Fe Cd
2 1 1 1
Direct
0.500 0.000 0.000 Tc
0.000 0.500 0.000 Tc
0.000 0.000 0.000 N
0.000 0.000 0.500 Fe
0.500 0.500 0.500 Cd
```

# 2
A geometry-optimized TlSnRh2 structure. Source: Alexandria, functional PBE.

- Electronic total energy: -0.3916 Ry per atom
- Energy relative to the elements: -0.06 eV/atom

POSCAR file:
```
TlSnRh2
1.0
4.066 0.000 0.000
2.033 3.521 0.000
2.033 1.174 5.663
Tl Rh Sn
1 2 1
Direct
0.495 0.495 0.516 Tl
0.263 0.263 0.211 Rh
0.071 0.071 0.786 Rh
0.671 0.671 0.987 Sn
```

# 3
A geometry-optimized Tb2Nd7Y structure. Source: Alexandria, functional PBE.

- Electronic total energy: -0.3144 Ry per atom
- Energy relative to the elements: 0.63 eV/atom

POSCAR file:
```
Tb2Nd7Y
1.0
-0.569 -4.176 -3.754
-5.398 -4.763 6.116
-3.328 6.157 -6.344
Nd Tb Y
7 2 1
Direct
0.500 0.708 0.933 Nd
0.000 0.217 0.783 Nd
0.000 0.783 0.217 Nd
0.500 0.292 0.067 Nd
0.500 0.500 0.500 Nd
0.500 0.067 0.292 Nd
0.500 0.933 0.708 Nd
0.500 0.295 0.705 Tb
0.500 0.705 0.295 Tb
0.000 0.000 0.000 Y
```

# 4
A geometry-optimized AcSm12Ho7 structure. Source: Alexandria, functional PBE.

- Electronic total energy: -0.3243 Ry per atom
- Energy relative to the elements: 0.23 eV/atom

POSCAR file:
```
AcSm12Ho7
1.0
8.542 1.157 1.736
-1.264 8.527 1.736
-1.264 -1.682 8.538
Ho Sm Ac
7 12 1
Direct
0.155 0.389 0.060 Ho
0.500 0.500 0.500 Ho
0.940 0.845 0.611 Ho
0.389 0.060 0.155 Ho
0.611 0.940 0.845 Ho
0.060 0.155 0.389 Ho
0.845 0.611 0.940 Ho
0.504 0.375 0.860 Sm
0.375 0.860 0.504 Sm
0.859 0.279 0.725 Sm
0.625 0.140 0.496 Sm
0.141 0.721 0.275 Sm
0.279 0.725 0.859 Sm
0.275 0.141 0.721 Sm
0.721 0.275 0.141 Sm
0.140 0.496 0.625 Sm
0.860 0.504 0.375 Sm
0.496 0.625 0.140 Sm
0.725 0.859 0.279 Sm
0.000 0.000 0.000 Ac
```

For the records above, the corresponding size of the total moment values read 1.9 0.0 0.0 0.0 μB/cell.